Record 1
{"formula": "MgHgI2", "functional": "PBE-GGA", "state": "relaxed", "e_above_lowest_polymorph_ev_per_atom": 0.0002, "formation_energy_uncorrected_ev_per_atom": -0.7558, "lattice": [[2.088, 1.206, 11.945], [-2.088, 1.206, 11.945], [0.000, -2.411, 11.945]], "species": ["Mg", "Hg", "I", "I"], "fractional_positions": [[0.000, 0.000, 0.000], [0.500, 0.500, 0.500], [0.380, 0.380, 0.380], [0.620, 0.620, 0.620]]}

=====

Record 2
{"formula": "Dy8Y5Ho", "functional": "PBE-GGA", "state": "relaxed", "formation_energy_ev_per_atom": 0.26, "lattice": [[-4.783, 4.783, 5.040], [4.783, -4.783, 5.040], [4.783, 4.783, -5.040]], "species": ["Dy", "Dy", "Dy", "Dy", "Dy", "Dy", "Dy", "Dy", "Y", "Y", "Y", "Y", "Y", "Ho"], "fractional_positions": [[0.079, 0.336, 0.604], [0.162, 0.427, 0.084], [0.343, 0.078, 0.916], [0.525, 0.921, 0.256], [0.573, 0.657, 0.735], [0.664, 0.269, 0.744], [0.731, 0.475, 0.396], [0.922, 0.838, 0.265], [0.035, 0.714, 0.902], [0.286, 0.188, 0.321], [0.500, 0.500, 0.000], [0.812, 0.133, 0.098], [0.867, 0.965, 0.679], [0.250, 0.750, 0.500]]}

=====

Record 3
{"formula": "MgNbIr3", "functional": "PBE-GGA", "state": "relaxed", "formation_energy_ev_per_atom": 1.20, "e_above_lowest_polymorph_ev_per_atom": 0.1081, "lattice": [[4.427, 0.000, 0.000], [0.000, 4.427, 0.000], [0.000, 0.000, 4.427]], "species": ["Mg", "Nb", "Ir", "Ir", "Ir"], "fractional_positions": [[0.000, 0.000, 0.000], [0.500, 0.500, 0.500], [0.000, 0.000, 0.500], [0.000, 0.500, 0.000], [0.500, 0.000, 0.000]]}

=====

Record 4
{"formula": "HfScSb2", "functional": "PBE-GGA", "state": "relaxed", "e_above_lowest_polymorph_ev_per_atom": 0.5725, "formation_energy_uncorrected_ev_per_atom": -0.0890, "lattice": [[-3.286, 3.286, 6.486], [3.286, -3.286, 6.486], [3.286, 3.286, -6.486]], "species": ["Hf", "Hf", "Sc", "Sc", "Sb", "Sb", "Sb", "Sb"], "fractional_positions": [[0.000, 0.000, 0.000], [0.750, 0.250, 0.500], [0.250, 0.750, 0.500], [0.500, 0.500, 0.000], [0.118, 0.625, 0.993], [0.375, 0.368, 0.493], [0.632, 0.125, 0.007], [0.875, 0.882, 0.507]]}